Record 1
Below is crystalline Y2TlCuP at its relaxed geometry, with properties calculated at the GGA-PBE level.

Calculated values
Theoretical density in g cm⁻³: 4.8
M_tot in μB/f.u.: 0.0
Energy of formation in eV/atom: 0.831
VASP energy in eV/atom: -4.13
N(E_F) in states/eV/atom: 1.069

Cell: 5.723 5.723 4.987 Å, 90.00 90.00 90.00°
Atoms (fractional coordinates):
Y1 0.000 0.500 0.000
Y2 0.500 0.000 0.000
Tl1 0.000 0.000 0.000
Cu1 0.500 0.500 0.500
P1 0.000 0.000 0.500

---

Record 2
Below is crystalline TmCu4P2 at its relaxed geometry, with properties calculated at the GGA-PBE level.

Calculated values
Theoretical density in g cm⁻³: 8.2
M_tot in μB/f.u.: 0.0
Energy of formation in eV/atom: -0.534
VASP energy in eV/atom: -5.06
N(E_F) in states/eV/atom: 0.248

Cell: 7.226 7.226 3.770 Å, 90.00 90.00 90.00°
Atoms (fractional coordinates):
Tm1 0.000 0.000 0.000
Tm2 0.500 0.500 0.500
Cu1 0.084 0.334 0.500
Cu2 0.166 0.584 0.000
Cu3 0.334 0.084 0.500
Cu4 0.416 0.834 0.000
Cu5 0.584 0.166 0.000
Cu6 0.666 0.916 0.500
Cu7 0.834 0.416 0.000
Cu8 0.916 0.666 0.500
P1 0.212 0.788 0.500
P2 0.288 0.288 0.000
P3 0.712 0.712 0.000
P4 0.788 0.212 0.500

---

Record 3
Below is crystalline UCu3P3 at its relaxed geometry, with properties calculated at the GGA-PBE level.

Calculated values
Theoretical density in g cm⁻³: 6.4
M_tot in μB/f.u.: 0.2
Energy of formation in eV/atom: -0.328
VASP energy in eV/atom: -6.01
N(E_F) in states/eV/atom: 0.301

Cell: 9.127 9.127 3.756 Å, 90.00 90.00 120.00°
Atoms (fractional coordinates):
U1 0.333 0.667 0.250
U2 0.667 0.333 0.750
Cu1 0.035 0.398 0.750
Cu2 0.363 0.965 0.750
Cu3 0.398 0.363 0.250
Cu4 0.602 0.637 0.750
Cu5 0.637 0.035 0.250
Cu6 0.965 0.602 0.250
P1 0.128 0.701 0.750
P2 0.299 0.427 0.750
P3 0.427 0.128 0.250
P4 0.573 0.872 0.750
P5 0.701 0.573 0.250
P6 0.872 0.299 0.250

---

Record 4
Below is crystalline UCuP2 at its relaxed geometry, with properties calculated at the GGA-PBE level.

Calculated values
Theoretical density in g cm⁻³: 9.2
M_tot in μB/f.u.: 1.0
Energy of formation in eV/atom: -0.412
VASP energy in eV/atom: -6.96
N(E_F) in states/eV/atom: 0.985

Cell: 4.912 4.912 4.912 Å, 50.67 50.67 50.67°
Atoms (fractional coordinates):
U1 0.000 0.000 0.000
Cu1 0.500 0.500 0.500
P1 0.231 0.231 0.231
P2 0.769 0.769 0.769

---

Record 5
Below is crystalline UCuP2 at its relaxed geometry, with properties calculated at the GGA-PBE level.

Calculated values
Theoretical density in g cm⁻³: 9.2
M_tot in μB/f.u.: 1.9
Energy of formation in eV/atom: -0.645
VASP energy in eV/atom: -7.20
N(E_F) in states/eV/atom: 1.171

Cell: 9.703 9.703 9.703 Å, 157.66 157.66 31.80°
Atoms (fractional coordinates):
U1 0.109 0.109 0.000
U2 0.891 0.891 0.000
Cu1 0.250 0.750 0.500
Cu2 0.750 0.250 0.500
P1 0.000 0.500 0.500
P2 0.332 0.332 0.000
P3 0.500 0.000 0.500
P4 0.668 0.668 0.000

---

Record 6
Below is crystalline UCuP2 at its relaxed geometry, with properties calculated at the GGA-PBE level.

Calculated values
Theoretical density in g cm⁻³: 9.5
M_tot in μB/f.u.: 0.4
Energy of formation in eV/atom: -0.526
VASP energy in eV/atom: -7.08
N(E_F) in states/eV/atom: 0.988

Cell: 4.235 4.235 3.557 Å, 90.00 90.00 90.00°
Atoms (fractional coordinates):
U1 0.000 0.000 0.000
Cu1 0.500 0.500 0.000
P1 0.000 0.500 0.500
P2 0.500 0.000 0.500

---

Record 7
Below is crystalline VCuP2 at its relaxed geometry, with properties calculated at the GGA-PBE level.

Calculated values
Theoretical density in g cm⁻³: 3.9
M_tot in μB/f.u.: 0.0
Energy relative to the lowest polymorph listed for this composition in eV per atom: 0.281
Energy of formation in eV/atom: 0.015
VASP energy in eV/atom: -5.99
N(E_F) in states/eV/atom: 0.423

Cell: 6.464 6.464 6.464 Å, 131.36 131.36 71.24°
Atoms (fractional coordinates):
V1 0.000 0.000 0.000
V2 0.750 0.250 0.500
Cu1 0.250 0.750 0.500
Cu2 0.500 0.500 0.000
P1 0.123 0.625 0.998
P2 0.375 0.373 0.498
P3 0.627 0.125 0.002
P4 0.875 0.877 0.502

---

Record 8
Below is crystalline VCu2P2 at its relaxed geometry, with properties calculated at the GGA-PBE level.

Calculated values
Theoretical density in g cm⁻³: 6.0
M_tot in μB/f.u.: 1.5
Energy of formation in eV/atom: 0.195
VASP energy in eV/atom: -5.43
N(E_F) in states/eV/atom: 0.698

Cell: 6.697 6.697 2.968 Å, 90.00 90.00 90.00°
Atoms (fractional coordinates):
V1 0.000 0.000 0.000
V2 0.500 0.500 0.000
Cu1 0.124 0.376 0.000
Cu2 0.376 0.876 0.000
Cu3 0.624 0.124 0.000
Cu4 0.876 0.624 0.000
P1 0.184 0.684 0.500
P2 0.316 0.184 0.500
P3 0.684 0.816 0.500
P4 0.816 0.316 0.500

---

Record 9
Below is crystalline VCuP2 at its relaxed geometry, with properties calculated at the GGA-PBE level.

Calculated values
Theoretical density in g cm⁻³: 4.9
M_tot in μB/f.u.: 0.0
Energy relative to the lowest polymorph listed for this composition in eV per atom: 0.000
Energy of formation in eV/atom: -0.266
VASP energy in eV/atom: -6.27
N(E_F) in states/eV/atom: 0.299

Cell: 7.929 7.929 7.929 Å, 21.63 21.63 21.63°
Atoms (fractional coordinates):
V1 0.000 0.000 0.000
Cu1 0.500 0.500 0.500
P1 0.404 0.404 0.404
P2 0.596 0.596 0.596

---

Record 10
Below is crystalline VCu2P2 at its relaxed geometry, with properties calculated at the GGA-PBE level.

Calculated values
Theoretical density in g cm⁻³: 6.0
M_tot in μB/f.u.: 0.0
Energy of formation in eV/atom: -0.073
VASP energy in eV/atom: -5.70
N(E_F) in states/eV/atom: 0.486

Cell: 6.283 6.283 3.343 Å, 90.00 90.00 90.00°
Atoms (fractional coordinates):
V1 0.000 0.000 0.000
V2 0.500 0.500 0.000
Cu1 0.145 0.355 0.500
Cu2 0.355 0.855 0.500
Cu3 0.645 0.145 0.500
Cu4 0.855 0.645 0.500
P1 0.158 0.658 0.000
P2 0.342 0.158 0.000
P3 0.658 0.842 0.000
P4 0.842 0.342 0.000

---

Record 11
Below is crystalline VCuP2 at its relaxed geometry, with properties calculated at the GGA-PBE level.

Calculated values
Theoretical density in g cm⁻³: 5.2
M_tot in μB/f.u.: 0.0
Energy relative to the lowest polymorph listed for this composition in eV per atom: 0.104
Energy of formation in eV/atom: -0.162
VASP energy in eV/atom: -6.17
N(E_F) in states/eV/atom: 0.378

Cell: 5.458 5.458 5.458 Å, 38.41 38.41 38.41°
Atoms (fractional coordinates):
V1 0.000 0.000 0.000
Cu1 0.177 0.177 0.177
P1 0.420 0.420 0.420
P2 0.579 0.579 0.579

---

Record 12
Below is crystalline VCuP2 at its relaxed geometry, with properties calculated at the GGA-PBE level.

Calculated values
Theoretical density in g cm⁻³: 5.5
M_tot in μB/f.u.: 1.2
Energy relative to the lowest polymorph listed for this composition in eV per atom: 0.351
Energy of formation in eV/atom: 0.085
VASP energy in eV/atom: -5.92
N(E_F) in states/eV/atom: 1.007

Cell: 4.221 4.221 4.221 Å, 60.00 60.00 60.00°
Atoms (fractional coordinates):
V1 0.000 0.000 0.000
Cu1 0.500 0.500 0.500
P1 0.250 0.250 0.250
P2 0.750 0.750 0.750